Density functional theory data (GGA-PBE) for an optimized crystal structure of UZn4Pt2.

abc: 4.311 7.481 7.481
angles: 90.00 90.00 90.00
Site moments in Bohr magnetons follow the coordinates.
Fractional coordinates of all 14 atoms:
1 Zn 0.500 0.149 0.599  0.01
2 Zn 0.000 0.351 0.099  0.01
3 Zn 0.500 0.851 0.401  0.01
4 Zn 0.500 0.401 0.851  0.01
5 U 0.000 0.500 0.500  2.47
6 Zn 0.000 0.901 0.649  0.01
7 Pt 0.500 0.715 0.715  -0.02
8 U 0.500 0.000 0.000  2.47
9 Zn 0.500 0.599 0.149  0.01
10 Pt 0.000 0.785 0.215  -0.02
11 Zn 0.000 0.649 0.901  0.01
12 Zn 0.000 0.099 0.351  0.01
13 Pt 0.500 0.285 0.285  -0.02
14 Pt 0.000 0.215 0.785  -0.02

Results
Energy of formation from the pure elements, kcal/mol of atoms: -10.1
Total magnetization, μB/cell: 5.60

Density functional theory data (GGA-PBE) for an optimized crystal structure of UZn4Pt5.

abc: 3.182 3.182 15.592
angles: 90.00 90.00 90.00
Site moments in Bohr magnetons follow the coordinates.
Fractional coordinates of all 10 atoms:
1 U 0.000 0.000 0.000  1.29
2 Pt 0.500 0.500 0.687  0.00
3 Zn 0.000 0.000 0.779  0.00
4 Pt 0.500 0.500 0.878  -0.06
5 Pt 0.500 0.500 0.122  -0.06
6 Zn 0.000 0.000 0.407  0.00
7 Pt 0.500 0.500 0.500  -0.01
8 Zn 0.000 0.000 0.221  0.00
9 Zn 0.000 0.000 0.593  0.00
10 Pt 0.500 0.500 0.313  0.00

Results
Energy of formation from the pure elements, kcal/mol of atoms: -12.8
Total magnetization, μB/cell: 1.24

Density functional theory data (GGA-PBE) for an optimized crystal structure of U2ZnPt6.

abc: 5.941 5.648 5.648
angles: 60.00 90.00 90.00
Site moments in Bohr magnetons follow the coordinates.
Fractional coordinates of all 9 atoms:
1 Pt 0.312 0.827 0.347  -0.06
2 Pt 0.688 0.653 0.173  -0.06
3 U 0.829 0.667 0.667  2.05
4 Pt 0.688 0.173 0.173  -0.06
5 Pt 0.688 0.173 0.653  -0.06
6 U 0.171 0.333 0.333  2.05
7 Zn 0.000 0.000 0.000  0.01
8 Pt 0.312 0.347 0.827  -0.06
9 Pt 0.312 0.827 0.827  -0.06

Results
Energy of formation from the pure elements, kcal/mol of atoms: -14.6
Total magnetization, μB/cell: 4.21

Density functional theory data (GGA-PBE) for an optimized crystal structure of UZnPt4.

abc: 7.376 5.594 5.599
angles: 90.00 90.00 90.00
Site moments in Bohr magnetons follow the coordinates.
Fractional coordinates of all 12 atoms:
1 Pt 0.265 0.500 0.500  -0.04
2 Pt 0.265 0.000 0.500  -0.04
3 Pt 0.265 0.000 0.000  -0.04
4 Pt 0.735 0.000 0.500  -0.04
5 U 0.000 0.750 0.250  1.03
6 Zn 0.500 0.750 0.750  0.01
7 Pt 0.735 0.000 0.000  -0.04
8 U 0.000 0.250 0.750  1.03
9 Zn 0.500 0.250 0.250  0.01
10 Pt 0.735 0.500 0.500  -0.04
11 Pt 0.265 0.500 0.000  -0.04
12 Pt 0.735 0.500 0.000  -0.04

Results
Energy of formation from the pure elements, kcal/mol of atoms: -11.9
Total magnetization, μB/cell: 1.89
ΔE to the lowest computed polymorph, eV per atom: 0.0586

Density functional theory data (GGA-PBE) for an optimized crystal structure of ZrUPt6.

abc: 4.107 4.107 8.230
angles: 90.00 90.00 90.00
Site moments in Bohr magnetons follow the coordinates.
Fractional coordinates of all 8 atoms:
1 U 0.000 0.000 0.000  1.91
2 Pt 0.500 0.500 0.000  0.01
3 Pt 0.500 0.000 0.742  0.01
4 Zr 0.000 0.000 0.500  0.02
5 Pt 0.000 0.500 0.742  0.01
6 Pt 0.000 0.500 0.258  0.01
7 Pt 0.500 0.000 0.258  0.01
8 Pt 0.500 0.500 0.500  -0.01

Results
Energy of formation from the pure elements, kcal/mol of atoms: -19.8
Total magnetization, μB/cell: 2.03

Density functional theory data (GGA-PBE) for an optimized crystal structure of ZrUPt14.

abc: 5.731 5.731 8.003
angles: 90.00 90.00 90.00
Fractional coordinates of all 16 atoms:
1 Pt 0.625 0.375 0.250
2 Pt 0.625 0.875 0.250
3 Pt 0.875 0.625 0.500
4 Pt 0.875 0.625 0.000
5 Pt 0.125 0.375 0.250
6 Pt 0.125 0.375 0.750
7 Pt 0.875 0.125 0.500
8 Pt 0.375 0.625 0.500
9 Pt 0.625 0.875 0.750
10 U 0.375 0.625 0.000
11 Pt 0.625 0.375 0.750
12 Pt 0.375 0.125 0.500
13 Zr 0.875 0.125 0.000
14 Pt 0.125 0.875 0.250
15 Pt 0.125 0.875 0.750
16 Pt 0.375 0.125 0.000

Results
Energy of formation from the pure elements, kcal/mol of atoms: -11.1
Total magnetization, μB/cell: 0.00

Density functional theory data (GGA-PBE) for an optimized crystal structure of ZrU2Pt9.

abc: 4.125 4.125 12.401
angles: 90.00 90.00 90.00
Site moments in Bohr magnetons follow the coordinates.
Fractional coordinates of all 12 atoms:
1 Pt 0.500 0.000 0.500  0.01
2 Zr 0.000 0.000 0.000  0.02
3 U 0.000 0.000 0.669  1.92
4 Pt 0.000 0.500 0.840  0.00
5 Pt 0.500 0.500 0.671  0.01
6 Pt 0.500 0.000 0.840  0.00
7 U 0.000 0.000 0.331  1.92
8 Pt 0.000 0.500 0.500  0.01
9 Pt 0.500 0.500 0.329  0.01
10 Pt 0.500 0.000 0.160  0.00
11 Pt 0.000 0.500 0.160  0.00
12 Pt 0.500 0.500 0.000  -0.01

Results
Energy of formation from the pure elements, kcal/mol of atoms: -18.7
Total magnetization, μB/cell: 4.06

Density functional theory data (GGA-PBE) for an optimized crystal structure of ZrU3Pt12.

abc: 4.135 4.135 16.561
angles: 90.00 90.00 90.00
Site moments in Bohr magnetons follow the coordinates.
Fractional coordinates of all 16 atoms:
1 Pt 0.500 0.500 0.500  0.01
2 Pt 0.000 0.500 0.627  0.01
3 Pt 0.500 0.500 0.245  0.01
4 Pt 0.000 0.500 0.881  0.01
5 Pt 0.500 0.500 0.000  -0.01
6 U 0.000 0.000 0.247  1.93
7 U 0.000 0.000 0.500  1.92
8 Pt 0.500 0.000 0.627  0.01
9 Pt 0.500 0.000 0.881  0.01
10 Pt 0.000 0.500 0.373  0.01
11 U 0.000 0.000 0.753  1.93
12 Pt 0.500 0.500 0.755  0.01
13 Pt 0.500 0.000 0.119  0.01
14 Pt 0.500 0.000 0.373  0.01
15 Pt 0.000 0.500 0.119  0.01
16 Zr 0.000 0.000 0.000  0.02

Results
Energy of formation from the pure elements, kcal/mol of atoms: -18.1
Total magnetization, μB/cell: 6.15